Record 1
La6GaAs2I3: optimized geometry, PBE.

a b c (Å): 7.6731 7.6731 8.1931
angles (deg): 98.97 98.97 119.98
With the nearest neighbours (Å) after each atom.
Fractional coordinates of all 12 atoms:
La  0.0977  0.4322  0.7962  2 As 3.01, 1 Ga 3.02
La  0.2335  0.2335  0.2035  2 As 3.01, 1 Ga 3.02
La  0.4322  0.0977  0.7962  2 As 3.01, 1 Ga 3.02
La  0.5678  0.9023  0.2038  2 As 3.01, 1 Ga 3.02
La  0.7665  0.7665  0.7965  2 As 3.01, 1 Ga 3.02
La  0.9023  0.5678  0.2038  2 As 3.01, 1 Ga 3.02
Ga  0.5000  0.5000  0.0000  6 La 3.02
As  0.1668  0.8332  0.0000  6 La 3.01
As  0.8332  0.1668  0.0000  6 La 3.01
I  0.0000  0.0000  0.5000  6 La 3.44-3.45
I  0.3340  0.6660  0.5000  6 La 3.44-3.45
I  0.6660  0.3340  0.5000  6 La 3.44-3.45

## Properties
Uncorrected formation energy: -1.2246 eV per atom
Symmetry: No. 12
Calculated density: 5.997 g/cm³

Record 2
Tl3Se2S6: optimized geometry, PBE.

a b c (Å): 7.1498 7.9602 11.5893
angles (deg): 90.00 90.00 90.00
With the nearest neighbours (Å) after each atom.
Fractional coordinates of all 22 atoms:
Tl  0.0000  0.0000  0.0000  2 S 2.41
Tl  0.0000  0.5000  0.3254  6 S 2.94-3.13
Tl  0.0000  0.5000  0.6746  6 S 2.94-3.13
Tl  0.5000  0.0000  0.1746  6 S 2.94-3.13
Tl  0.5000  0.0000  0.8254  6 S 2.94-3.13
Tl  0.5000  0.5000  0.5000  2 S 2.41
Se  0.2242  0.0869  0.5000  2 S 2.18
Se  0.2758  0.5869  0.0000  2 S 2.18
Se  0.7242  0.4131  0.0000  2 S 2.18
Se  0.7758  0.9131  0.5000  2 S 2.18
S  0.2164  0.7339  0.1544  1 Se 2.18
S  0.2164  0.7339  0.8456  1 Se 2.18
S  0.2244  0.6753  0.5000  1 Tl 2.41
S  0.2756  0.1753  0.0000  1 Tl 2.41
S  0.2836  0.2339  0.3456  1 Se 2.18
S  0.2836  0.2339  0.6544  1 Se 2.18
S  0.7164  0.7661  0.3456  1 Se 2.18
S  0.7164  0.7661  0.6544  1 Se 2.18
S  0.7244  0.8247  0.0000  1 Tl 2.41
S  0.7756  0.3247  0.5000  1 Tl 2.41
S  0.7836  0.2661  0.1544  1 Se 2.18
S  0.7836  0.2661  0.8456  1 Se 2.18

## Properties
Uncorrected formation energy: 0.0209 eV per atom
Symmetry: No. 58
Calculated density: 4.851 g/cm³

Record 3
Sm6GeRu2Br3: optimized geometry, PBE.

a b c (Å): 7.1792 7.1792 8.0027
angles (deg): 98.63 98.63 120.07
With the nearest neighbours (Å) after each atom.
Fractional coordinates of all 12 atoms:
Sm  0.0820  0.4346  0.8012  2 Ru 2.77-2.78, 1 Ge 2.95
Sm  0.2140  0.2140  0.1988  2 Ru 2.78, 1 Ge 2.95
Sm  0.4346  0.0820  0.8012  2 Ru 2.77-2.78, 1 Ge 2.95
Sm  0.5654  0.9180  0.1988  2 Ru 2.77-2.78, 1 Ge 2.95
Sm  0.7860  0.7860  0.8012  2 Ru 2.78, 1 Ge 2.95
Sm  0.9180  0.5654  0.1988  2 Ru 2.77-2.78, 1 Ge 2.95
Ge  0.5000  0.5000  0.0000  6 Sm 2.95
Ru  0.1667  0.8333  0.0000  6 Sm 2.77-2.78
Ru  0.8333  0.1667  0.0000  6 Sm 2.77-2.78
Br  0.0000  0.0000  0.5000  6 Sm 3.22-3.37
Br  0.3357  0.6643  0.5000  6 Sm 3.24-3.37
Br  0.6643  0.3357  0.5000  6 Sm 3.24-3.37

## Properties
Uncorrected formation energy: -0.8868 eV per atom
Symmetry: No. 12
Calculated density: 6.909 g/cm³